No. 1
Entry from Alexandria via LeMat-Bulk: a geometry-optimized KNaSiH6 structure (PBE-GGA).

a = 5.2321 Å, b = 5.2321 Å, c = 5.0808 Å
α = 90.00°, β = 90.00°, γ = 120.00°
With the nearest neighbours (Å) after each atom.
Element x y z (fractional)
K1 0.0000 0.0000 0.0000  6 H 2.57
Na1 0.3333 0.6667 0.5000  6 H 2.20
Si1 0.6667 0.3333 0.5000  6 H 1.61
H1 0.4195 0.0816 0.6849  1 Si 1.61
H2 0.4195 0.3379 0.3151  1 Si 1.61
H3 0.6621 0.0816 0.3151  1 Si 1.61
H4 0.6621 0.5805 0.6849  1 Si 1.61
H5 0.9184 0.3379 0.6849  1 Si 1.61
H6 0.9184 0.5805 0.3151  1 Si 1.61

Computed properties:
- symmetry = P312
- raw total energy (eV per cell) = -28.98
- M_tot (μB/atom) = 0.000

=====

No. 2
Entry from Alexandria via LeMat-Bulk: a geometry-optimized Tl2AgIrBr6 structure (PBE-GGA).

a = 7.4448 Å, b = 10.5798 Å, c = 7.7208 Å
α = 90.00°, β = 90.00°, γ = 90.00°
With the nearest neighbours (Å) after each atom.
Element x y z (fractional)
Tl1 0.2500 0.0238 0.2242  9 Br 3.46-3.84
Tl2 0.2500 0.4762 0.2242  9 Br 3.46-3.84
Tl3 0.7500 0.5238 0.7758  9 Br 3.46-3.84
Tl4 0.7500 0.9762 0.7758  9 Br 3.46-3.84
Ag1 0.2500 0.2500 0.7245  6 Br 2.79-2.90
Ag2 0.7500 0.7500 0.2755  6 Br 2.79-2.90
Ir1 0.2500 0.7500 0.7658  6 Br 2.52
Ir2 0.7500 0.2500 0.2342  6 Br 2.52
Br1 0.0083 0.7500 0.5376  1 Ir 2.52, 1 Ag 2.79
Br2 0.0083 0.7500 0.9952  1 Ir 2.52
Br3 0.2500 0.5120 0.7784  1 Ir 2.52, 1 Ag 2.80
Br4 0.2500 0.9880 0.7784  1 Ir 2.52, 1 Ag 2.80
Br5 0.4917 0.7500 0.5376  1 Ir 2.52, 1 Ag 2.79
Br6 0.4917 0.7500 0.9952  1 Ir 2.52
Br7 0.5083 0.2500 0.0048  1 Ir 2.52
Br8 0.5083 0.2500 0.4624  1 Ir 2.52, 1 Ag 2.79
Br9 0.7500 0.0120 0.2216  1 Ir 2.52, 1 Ag 2.80
Br10 0.7500 0.4880 0.2216  1 Ir 2.52, 1 Ag 2.80
Br11 0.9917 0.2500 0.0048  1 Ir 2.52
Br12 0.9917 0.2500 0.4624  1 Ir 2.52, 1 Ag 2.79

Computed properties:
- symmetry = Pmmn
- E_form (uncorrected) (eV per atom) = -0.441
- raw total energy (eV per cell) = -61.79
- M_tot (μB/atom) = 0.000